Compound: CeAl4Ni4
Source: Alexandria
Functional: PBE
Structure: optimized geometry

Calculated values
- total DFT energy (no corrections) (eV for the cell shown) = -96.74
- ΔH_f (0 K) (eV per atom) = -0.482
- total moment (Bohr magnetons per cell) = 0.6

Cell: 5.8111 5.8111 8.1754 Å, 90.00 90.00 90.00°
Last column: nearest neighbours and their distance in Å.
Fractional positions:
Ce 0.2500 0.7500 0.2500  4 Ni 3.00, 8 Al 3.33
Ce 0.7500 0.2500 0.7500  4 Ni 3.00, 8 Al 3.33
Al 0.0127 0.2500 0.1449  5 Ni 2.40-2.48
Al 0.2500 0.0127 0.6449  5 Ni 2.40-2.48
Al 0.2500 0.4873 0.6449  5 Ni 2.40-2.48
Al 0.4873 0.2500 0.1449  5 Ni 2.40-2.48
Al 0.5127 0.7500 0.8551  5 Ni 2.40-2.48
Al 0.7500 0.5127 0.3551  5 Ni 2.40-2.48
Al 0.7500 0.9873 0.3551  5 Ni 2.40-2.48
Al 0.9873 0.7500 0.8551  5 Ni 2.40-2.48
Ni 0.0407 0.2500 0.4474  5 Al 2.40-2.48, 1 Ni 2.43
Ni 0.2500 0.0407 0.9474  5 Al 2.40-2.48, 1 Ni 2.43
Ni 0.2500 0.4593 0.9474  5 Al 2.40-2.48, 1 Ni 2.43
Ni 0.4593 0.2500 0.4474  5 Al 2.40-2.48, 1 Ni 2.43
Ni 0.5407 0.7500 0.5526  5 Al 2.40-2.48, 1 Ni 2.43
Ni 0.7500 0.5407 0.0526  5 Al 2.40-2.48, 1 Ni 2.43
Ni 0.7500 0.9593 0.0526  5 Al 2.40-2.48, 1 Ni 2.43
Ni 0.9593 0.7500 0.5526  5 Al 2.40-2.48, 1 Ni 2.43